#A
Entry from Alexandria via LeMat-Bulk: crystalline Tb2BeAl at its relaxed geometry (GGA-PBE).

The structure in CIF format:
```
data_Tb2BeAl
_symmetry_space_group_name_H-M 'P 1'
_symmetry_Int_Tables_number 1
_cell_length_a 5.0077
_cell_length_b 5.0077
_cell_length_c 5.0077
_cell_angle_alpha 60.00
_cell_angle_beta 60.00
_cell_angle_gamma 60.00
loop_
_symmetry_equiv_pos_as_xyz
'x,y,z'
loop_
_atom_site_label
_atom_site_fract_x
_atom_site_fract_y
_atom_site_fract_z
Tb1 0.2500 0.2500 0.2500
Tb2 0.7500 0.7500 0.7500
Al1 0.0000 0.0000 0.0000
Be1 0.5000 0.5000 0.5000
```

Computed properties:
- Calculated volume: 22.20 Å³/atom

***

#B
Entry from Alexandria via LeMat-Bulk: crystalline Tb2BeAl at its relaxed geometry (GGA-PBE).

The structure in CIF format:
```
data_Tb2BeAl
_symmetry_space_group_name_H-M 'P 1'
_symmetry_Int_Tables_number 1
_cell_length_a 3.4895
_cell_length_b 3.4895
_cell_length_c 7.1820
_cell_angle_alpha 90.00
_cell_angle_beta 90.00
_cell_angle_gamma 90.00
loop_
_symmetry_equiv_pos_as_xyz
'x,y,z'
loop_
_atom_site_label
_atom_site_fract_x
_atom_site_fract_y
_atom_site_fract_z
Be1 0.5000 0.5000 0.0000
Tb1 0.0000 0.0000 0.2303
Tb2 0.0000 0.0000 0.7697
Al1 0.5000 0.5000 0.5000
```

Computed properties:
- Calculated volume: 21.86 Å³/atom

***

Of the structures shown above, #B is the most stable.